## w
This record from Alexandria via LeMat-Bulk describes Ce2BiSb after structural relaxation. The functional is PBE.

Summary:
The crystal system is cubic. The value obtained for the density of states at the Fermi level is 2.840 states/eV per atom.

Structure (CIF):
```
data_Ce2BiSb
_space_group_name_H-M_alt 'P 1'
_space_group_IT_number 1
_space_group_name_Hall 'P 1'
_cell_length_a 5.501
_cell_length_b 5.501
_cell_length_c 5.501
_cell_angle_alpha 60.00
_cell_angle_beta 60.00
_cell_angle_gamma 60.00
loop_
_atom_site_label
_atom_site_fract_x
_atom_site_fract_y
_atom_site_fract_z
Bi1 0.000 0.000 0.000
Ce1 0.250 0.250 0.250
Sb1 0.500 0.500 0.500
Ce2 0.750 0.750 0.750
```

=====

## x
This record from Alexandria via LeMat-Bulk describes Ce2BiSb after structural relaxation. The functional is PBE.

Summary:
The crystal system is tetragonal. The value obtained for the density of states at the Fermi level is 2.817 states/eV per atom.

Structure (CIF):
```
data_Ce2BiSb
_space_group_name_H-M_alt 'P 1'
_space_group_IT_number 1
_space_group_name_Hall 'P 1'
_cell_length_a 3.839
_cell_length_b 3.839
_cell_length_c 8.013
_cell_angle_alpha 90.00
_cell_angle_beta 90.00
_cell_angle_gamma 90.00
loop_
_atom_site_label
_atom_site_fract_x
_atom_site_fract_y
_atom_site_fract_z
Ce1 0.000 0.000 0.763
Bi1 0.500 0.500 0.500
Sb1 0.500 0.500 0.000
Ce2 0.000 0.000 0.237
```

=====

## y
This record from Alexandria via LeMat-Bulk describes Ce2BiSb after structural relaxation. The functional is PBE.

Summary:
The crystal system is trigonal. The value obtained for the density of states at the Fermi level is 3.453 states/eV per atom.

Structure (CIF):
```
data_Ce2BiSb
_space_group_name_H-M_alt 'P 1'
_space_group_IT_number 1
_space_group_name_Hall 'P 1'
_cell_length_a 4.428
_cell_length_b 4.428
_cell_length_c 7.819
_cell_angle_alpha 90.00
_cell_angle_beta 90.00
_cell_angle_gamma 60.00
loop_
_atom_site_label
_atom_site_fract_x
_atom_site_fract_y
_atom_site_fract_z
Sb1 0.000 0.000 0.000
Ce1 0.333 0.333 0.757
Bi1 0.000 0.000 0.500
Ce2 0.667 0.667 0.243
```

=====

## z
This record from Alexandria via LeMat-Bulk describes Ce2BiSb after structural relaxation. The functional is PBE.

Summary:
The crystal system is trigonal. The value obtained for the density of states at the Fermi level is 3.142 states/eV per atom.

Structure (CIF):
```
data_Ce2BiSb
_space_group_name_H-M_alt 'P 1'
_space_group_IT_number 1
_space_group_name_Hall 'P 1'
_cell_length_a 4.548
_cell_length_b 4.548
_cell_length_c 7.894
_cell_angle_alpha 73.26
_cell_angle_beta 73.26
_cell_angle_gamma 60.00
loop_
_atom_site_label
_atom_site_fract_x
_atom_site_fract_y
_atom_site_fract_z
Ce1 0.748 0.748 0.757
Bi1 0.500 0.500 0.500
Ce2 0.252 0.252 0.243
Sb1 0.000 0.000 0.000
```

=====

Q: What are the energies relative to the best structure? A: w 172; x 163; y 96; z 0, in meV/atom.

=====

## w
This record from Alexandria via LeMat-Bulk describes Ce2BiSb after structural relaxation. The functional is PBE.

Summary:
The crystal system is trigonal. The value obtained for the density of states at the Fermi level is 3.461 states/eV per atom.

Structure (CIF):
```
data_Ce2BiSb
_space_group_name_H-M_alt 'P 1'
_space_group_IT_number 1
_space_group_name_Hall 'P 1'
_cell_length_a 4.472
_cell_length_b 4.472
_cell_length_c 8.239
_cell_angle_alpha 74.25
_cell_angle_beta 74.25
_cell_angle_gamma 60.00
loop_
_atom_site_label
_atom_site_fract_x
_atom_site_fract_y
_atom_site_fract_z
Ce1 0.254 0.254 0.237
Sb1 0.668 0.668 0.995
Bi1 0.498 0.498 0.505
Ce2 0.079 0.079 0.763
```

=====

## x
This record from Alexandria via LeMat-Bulk describes Ce2BiSb after structural relaxation. The functional is PBE.

Summary:
The crystal system is orthorhombic. The value obtained for the density of states at the Fermi level is 2.984 states/eV per atom.

Structure (CIF):
```
data_Ce2BiSb
_space_group_name_H-M_alt 'P 1'
_space_group_IT_number 1
_space_group_name_Hall 'P 1'
_cell_length_a 4.263
_cell_length_b 4.898
_cell_length_c 6.405
_cell_angle_alpha 90.00
_cell_angle_beta 109.44
_cell_angle_gamma 90.00
loop_
_atom_site_label
_atom_site_fract_x
_atom_site_fract_y
_atom_site_fract_z
Ce1 0.202 0.500 0.942
Sb1 0.467 0.500 0.473
Ce2 0.964 0.000 0.468
Bi1 0.698 0.000 0.934
```

=====

Q: What are the energies relative to the best structure? A: w 8; x 0, in meV/atom.

=====

## w
This record from Alexandria via LeMat-Bulk describes CeBiSb after structural relaxation. The functional is PBE.

Summary:
The crystal system is tetragonal. The value obtained for the density of states at the Fermi level is 1.754 states/eV per atom.

Structure (CIF):
```
data_CeBiSb
_space_group_name_H-M_alt 'P 1'
_space_group_IT_number 1
_space_group_name_Hall 'P 1'
_cell_length_a 4.173
_cell_length_b 4.173
_cell_length_c 5.956
_cell_angle_alpha 110.50
_cell_angle_beta 110.50
_cell_angle_gamma 90.00
loop_
_atom_site_label
_atom_site_fract_x
_atom_site_fract_y
_atom_site_fract_z
Sb1 0.639 0.639 0.278
Bi1 0.937 0.937 0.873
Ce1 0.275 0.275 0.549
```

=====

## x
This record from Alexandria via LeMat-Bulk describes CeBiSb after structural relaxation. The functional is PBE.

Summary:
The crystal system is trigonal. The value obtained for the density of states at the Fermi level is 2.097 states/eV per atom.

Structure (CIF):
```
data_CeBiSb
_space_group_name_H-M_alt 'P 1'
_space_group_IT_number 1
_space_group_name_Hall 'P 1'
_cell_length_a 3.298
_cell_length_b 5.566
_cell_length_c 5.566
_cell_angle_alpha 120.00
_cell_angle_beta 90.00
_cell_angle_gamma 90.00
loop_
_atom_site_label
_atom_site_fract_x
_atom_site_fract_y
_atom_site_fract_z
Ce1 0.001 0.000 0.000
Bi1 0.501 0.333 0.667
Sb1 0.498 0.667 0.333
```

=====

## y
This record from Alexandria via LeMat-Bulk describes CeBiSb after structural relaxation. The functional is PBE.

Summary:
The crystal system is tetragonal. The value obtained for the density of states at the Fermi level is 0.723 states/eV per atom.

Structure (CIF):
```
data_CeBiSb
_space_group_name_H-M_alt 'P 1'
_space_group_IT_number 1
_space_group_name_Hall 'P 1'
_cell_length_a 4.463
_cell_length_b 4.463
_cell_length_c 9.474
_cell_angle_alpha 103.62
_cell_angle_beta 103.62
_cell_angle_gamma 90.00
loop_
_atom_site_label
_atom_site_fract_x
_atom_site_fract_y
_atom_site_fract_z
Sb1 0.500 0.000 0.000
Bi1 0.181 0.181 0.361
Sb2 0.000 0.500 0.000
Bi2 0.819 0.819 0.639
Ce1 0.633 0.633 0.266
Ce2 0.367 0.367 0.734
```

=====

## z
This record from Alexandria via LeMat-Bulk describes CeBiSb after structural relaxation. The functional is PBE.

Summary:
The crystal system is tetragonal. The value obtained for the density of states at the Fermi level is 0.821 states/eV per atom.

Structure (CIF):
```
data_CeBiSb
_space_group_name_H-M_alt 'P 1'
_space_group_IT_number 1
_space_group_name_Hall 'P 1'
_cell_length_a 4.485
_cell_length_b 4.485
_cell_length_c 9.536
_cell_angle_alpha 103.60
_cell_angle_beta 103.60
_cell_angle_gamma 90.00
loop_
_atom_site_label
_atom_site_fract_x
_atom_site_fract_y
_atom_site_fract_z
Ce1 0.353 0.353 0.705
Ce2 0.647 0.647 0.295
Bi1 0.500 0.000 0.000
Sb1 0.178 0.178 0.355
Sb2 0.822 0.822 0.645
Bi2 0.000 0.500 0.000
```

=====

Q: What are the energies relative to the best structure? A: w 134; x 292; y 25; z 0, in meV/atom.